CdNi2Se | Alexandria via LeMat-Bulk | PBE | optimized geometry; relative energy among the computed polymorphs = 0.133 eV/atom; theoretical density = 6.88 Mg/m³; magnetic moment = 0.00 μB per cell; uncorrected formation energy = 0.099 eV per atom; calculated volume = 18.64 A^3/atom
1.0
-2.224 2.224 7.536
2.224 -2.224 7.536
2.224 2.224 -7.536
Cd Ni Se
2 4 2
Direct
0.000 0.000 0.000
0.750 0.250 0.500
0.247 0.625 0.122
0.375 0.497 0.622
0.503 0.125 0.878
0.875 0.753 0.378
0.250 0.750 0.500
0.500 0.500 0.000